Record 1
KNi2Br: optimized geometry, GGA-PBEsol.

## Properties
raw formation energy	555	meV per atom
DFT total energy	-26.20	eV per cell
mass density	5.35	g/cm3

a b c (Å): 3.0073 4.9735 9.8108
angles (deg): 90.00 90.00 90.00
Space group Immm (No. 71)
Asymmetric unit:
1 K 0.0000 0.0000 0.0000 [2 per cell]
2 Ni 0.0000 0.5000 0.2107 [4 per cell]
3 Br 0.0000 0.0000 0.5000 [2 per cell]

***

Record 2
KNiBr3: optimized geometry, GGA-PBEsol.

## Properties
raw formation energy	539	meV per atom
DFT total energy	-10.21	eV per cell
mass density	2.86	g/cm3

a b c (Å): 5.8061 5.8061 5.8061
angles (deg): 90.00 90.00 90.00
Space group Pm-3m (No. 221)
Asymmetric unit:
1 K 0.0000 0.0000 0.0000 [1 per cell]
2 Ni 0.5000 0.5000 0.5000 [1 per cell]
3 Br 0.0000 0.0000 0.5000 [3 per cell]

***

Question: Among the records above, which one has the lowest DFT total energy?
Answer: KNi2Br